VASP calculation (PBE with a Hubbard U) on a relaxed structure of Na2NpNiO6.

a b c (Å): 5.658 5.658 5.658
angles (deg): 60.00 60.00 60.00
Positions (direct):
Na1 0.250 0.250 0.250
Na2 0.750 0.750 0.750
Np1 0.000 0.000 0.000
Ni1 0.500 0.500 0.500
O1 0.249 0.249 0.751
O2 0.249 0.751 0.249
O3 0.249 0.751 0.751
O4 0.751 0.249 0.249
O5 0.751 0.249 0.751
O6 0.751 0.751 0.249

Summary:
Size of the total moment (μB/f.u.): 0.978
E (eV/cell): -66.33